VASP calculation (PBE-GGA) on a geometry-optimized Pr14PuTh structure.

Unit cell a=11.492 b=7.164 c=7.164 alpha=73.84 beta=90.00 gamma=90.00
Atoms (fractional coordinates):
Pr 0.000 0.000 0.000
Pr 0.000 0.436 0.436
Pr 0.000 0.507 0.928
Pr 0.000 0.928 0.507
Pr 0.252 0.794 0.794
Pr 0.256 0.224 0.224
Pr 0.261 0.298 0.720
Pr 0.261 0.720 0.298
Pr 0.500 0.506 0.942
Pr 0.500 0.942 0.506
Pr 0.739 0.298 0.720
Pr 0.739 0.720 0.298
Pr 0.744 0.224 0.224
Pr 0.748 0.794 0.794
Pu 0.500 0.441 0.441
Th 0.500 0.003 0.003

The spin magnetization is 6.395 Bohr magnetons per cell. The value obtained for the energy relative to the elements is 97 meV per atom. The crystal system is orthorhombic. The final energy is -87.106 eV/cell.